A plane-wave DFT calculation with PBE-GGA was carried out for a geometry-optimized Er2Tm5Sb5 structure.

## Properties
* calculated volume: 29.3 A^3/atom
* formation energy from raw total energies: -9.32 eV/f.u.
* M_tot: 0.000 μB per formula unit
* theoretical density: 8.45 g/cm3
* SG: C2/m, No. 12

abc: 4.3026 7.3518 12.3818
angles: 109.30 90.00 107.01
Last column: nearest neighbours and their distance in Å.
Fractional positions:
1 Er 0.0463 0.0926 0.7854  4 Sb 2.92-3.02
2 Er 0.9537 0.9074 0.2146  4 Sb 2.92-3.02
3 Tm 0.5000 0.0000 0.5000  4 Sb 3.00
4 Tm 0.6608 0.3217 0.0334  5 Sb 3.04-3.25
5 Tm 0.7163 0.4326 0.3395  5 Sb 2.94-3.15
6 Tm 0.2837 0.5674 0.6605  5 Sb 2.94-3.15
7 Tm 0.3392 0.6783 0.9666  5 Sb 3.04-3.25
8 Sb 0.1197 0.2394 0.4357  1 Er 2.92, 5 Tm 2.94-3.00
9 Sb 0.6980 0.3960 0.7888  2 Er 3.02, 5 Tm 3.15-3.25
10 Sb 0.3020 0.6040 0.2112  2 Er 3.02, 5 Tm 3.15-3.25
11 Sb 0.8803 0.7606 0.5643  1 Er 2.92, 5 Tm 2.94-3.00
12 Sb 0.0000 0.0000 0.0000  2 Er 2.95, 4 Tm 3.04

***

A plane-wave DFT calculation with PBE-GGA was carried out for a geometry-optimized LiTmTl3 structure.

## Properties
* calculated volume: 26.9 A^3/atom
* M_tot: 0.000 μB per formula unit
* theoretical density: 9.74 g/cm3
* SG: C2/m, No. 12
* formation enthalpy at 0 K: -38 meV per atom

abc: 4.6167 4.5277 13.2447
angles: 99.84 99.31 90.00
Last column: nearest neighbours and their distance in Å.
Fractional positions:
1 Li 0.3910 0.1380 0.2759  5 Tl 2.57-2.81
2 Li 0.6090 0.8620 0.7241  5 Tl 2.57-2.81
3 Tm 0.1948 0.4405 0.8810  6 Tl 3.28-3.38
4 Tm 0.8052 0.5595 0.1190  6 Tl 3.28-3.38
5 Tl 0.7147 0.9619 0.9239  1 Li 2.57
6 Tl 0.2853 0.0381 0.0761  1 Li 2.57
7 Tl 0.4528 0.7023 0.4047  2 Li 2.81
8 Tl 0.5472 0.2977 0.5953  2 Li 2.81
9 Tl 0.0521 0.8025 0.6051  2 Li 2.76-2.78
10 Tl 0.9479 0.1975 0.3949  2 Li 2.76-2.78